1.
{
  "formula": "Rb3MnI6",
  "functional": "GGA-PBE",
  "state": "relaxed",
  "lattice": [[8.8260, 0.0000, 0.0000], [0.0000, 8.8260, 0.0000], [4.4130, 4.4130, 6.2354]],
  "species": ["Rb", "Rb", "Rb", "Mn", "I", "I", "I", "I", "I", "I"],
  "frac_coords": [[0.2500, 0.7500, 0.5000], [0.0000, 0.0000, 0.0000], [0.7500, 0.2500, 0.5000], [0.5000, 0.5000, 0.0000], [0.7232, 0.7232, 0.0000], [0.2769, 0.2769, 0.4462], [0.2768, 0.2768, 0.0000], [0.7231, 0.7231, 0.5538], [0.7232, 0.2768, 0.0000], [0.2768, 0.7232, 0.0000]],
  "dos_ef_per_ev_cell": 8.6,
  "raw_formation_energy_ev_per_atom": -0.95,
  "dft_energy_ev_per_atom": -3.08,
  "sg": "I4/mmm, No. 139"
}

2.
{
  "formula": "FeAs2Os",
  "functional": "GGA-PBE",
  "state": "relaxed",
  "lattice": [[-4.0191, 1.8593, -1.5546], [-1.1204, -0.0207, 2.8717], [1.0276, 3.9582, 2.0774]],
  "species": ["As", "As", "Os", "Fe"],
  "frac_coords": [[0.0000, 0.7128, 0.9508], [0.5000, 0.5393, 0.2949], [0.5000, 0.8298, 0.7156], [0.0000, 0.4181, 0.5387]],
  "ef_ev_per_atom": 0.123,
  "dos_ef_per_ev_cell": 2.6,
  "dft_energy_ev_per_atom": -7.12,
  "sg": "Amm2, No. 38"
}

3.
{
  "formula": "Hg3PbI8",
  "functional": "GGA-PBE",
  "state": "relaxed",
  "lattice": [[4.4485, 0.0000, -1.3098], [-0.4364, 12.5150, -1.4821], [0.6824, 1.3782, 10.5265]],
  "species": ["I", "I", "I", "I", "I", "I", "I", "I", "Hg", "Hg", "Hg", "Pb"],
  "frac_coords": [[0.8432, 0.5867, 0.6863], [0.5102, 0.6832, 0.0205], [0.4339, 0.9772, 0.8678], [0.4722, 0.3425, 0.9444], [0.1919, 0.7554, 0.3837], [0.8028, 0.2375, 0.6055], [0.6513, 0.0403, 0.3026], [0.1578, 0.3431, 0.3156], [0.3755, 0.1755, 0.7510], [0.5947, 0.2500, 0.1895], [0.6076, 0.8310, 0.2152], [0.3572, 0.7473, 0.7143]],
  "raw_formation_energy_ev_per_atom": -0.31,
  "dft_energy_ev_per_atom": -1.73,
  "sg": "Cm, No. 8"
}

4.
{
  "formula": "InSi2NiB",
  "functional": "GGA-PBE",
  "state": "relaxed",
  "lattice": [[5.1722, 0.0000, 0.0000], [0.0000, 4.1215, 0.0000], [0.0000, 0.0000, 5.1722]],
  "species": ["Ni", "Si", "Si", "In", "B"],
  "frac_coords": [[0.5000, 0.5000, 0.5000], [0.0000, 0.0000, 0.5000], [0.5000, 0.0000, 0.0000], [0.0000, 0.0000, 0.0000], [0.0000, 0.5000, 0.0000]],
  "dos_ef_per_ev_cell": 4.0,
  "raw_formation_energy_ev_per_atom": 1.92,
  "dft_energy_ev_per_atom": -3.29,
  "sg": "P4/mmm, No. 123"
}

5.
{
  "formula": "Cs4Hg7Rh",
  "functional": "GGA-PBE",
  "state": "relaxed",
  "lattice": [[-1.8534, 4.2419, 2.6576], [3.0896, -0.2709, 7.9476], [9.8982, 7.4441, 0.3816]],
  "species": ["Hg", "Hg", "Hg", "Hg", "Hg", "Hg", "Hg", "Cs", "Cs", "Cs", "Cs", "Rh"],
  "frac_coords": [[0.6607, 0.2126, 0.4659], [0.1286, 0.1499, 0.5929], [0.5000, 0.0000, 0.0000], [0.8330, 0.3377, 0.9962], [0.3393, 0.7874, 0.5341], [0.1670, 0.6623, 0.0038], [0.8714, 0.8501, 0.4071], [0.2869, 0.1902, 0.2359], [0.4449, 0.3551, 0.7552], [0.5551, 0.6449, 0.2448], [0.7131, 0.8098, 0.7641], [0.0000, 0.0000, 0.0000]],
  "ef_ev_per_atom": -0.113,
  "dos_ef_per_ev_cell": 6.1,
  "dft_energy_ev_per_atom": -1.19,
  "sg": "C2/m, No. 12"
}

6.
{
  "formula": "CsPd2Rh",
  "functional": "GGA-PBE",
  "state": "relaxed",
  "lattice": [[1.5016, -3.6010, -2.9165], [-0.7020, -4.6413, 1.3014], [-3.2604, -2.7294, -2.3766]],
  "species": ["Pd", "Pd", "Cs", "Rh"],
  "frac_coords": [[0.2500, 0.2500, 0.2500], [0.7500, 0.7500, 0.7500], [0.5000, 0.5000, 0.5000], [0.0000, 0.0000, 0.0000]],
  "ef_ev_per_atom": 0.826,
  "dos_ef_per_ev_cell": 5.2,
  "dft_energy_ev_per_atom": -3.82,
  "sg": "Fm-3m, No. 225"
}